(1)
BaPbWSe2 at its PBEsol-relaxed geometry. Source: the Alexandria database, functional meta-GGA SCAN.

Geometry as CIF:
```
data_BaPbWSe2
_chemical_formula_sum 'Ba1 Pb1 W1 Se2'
_cell_length_a 5.417
_cell_length_b 5.417
_cell_length_c 6.267
_cell_angle_alpha 90.00
_cell_angle_beta 90.00
_cell_angle_gamma 90.00
_symmetry_space_group_name_H-M 'P 1'
_symmetry_Int_Tables_number 1
loop_
_symmetry_equiv_pos_as_xyz
'x,y,z'
loop_
_atom_site_label
_atom_site_fract_x
_atom_site_fract_y
_atom_site_fract_z
Ba1 0.000 0.000 0.000
Pb1 0.000 0.000 0.500
W1 0.500 0.500 0.000
Se1 0.000 0.500 0.500
Se2 0.500 0.000 0.500
```

Output
Total energy (eV per cell): -218.65
Formation energy without anion corrections (eV per atom): 1.3061



(2)
BaSi2Pb at its PBEsol-relaxed geometry. Source: the Alexandria database, functional meta-GGA SCAN.

Geometry as CIF:
```
data_BaSi2Pb
_chemical_formula_sum 'Ba1 Si2 Pb1'
_cell_length_a 4.726
_cell_length_b 4.726
_cell_length_c 4.519
_cell_angle_alpha 90.00
_cell_angle_beta 90.00
_cell_angle_gamma 90.00
_symmetry_space_group_name_H-M 'P 1'
_symmetry_Int_Tables_number 1
loop_
_symmetry_equiv_pos_as_xyz
'x,y,z'
loop_
_atom_site_label
_atom_site_fract_x
_atom_site_fract_y
_atom_site_fract_z
Ba1 0.000 0.000 0.000
Si1 0.000 0.500 0.500
Si2 0.500 0.000 0.500
Pb1 0.500 0.500 0.000
```

Output
Total energy (eV per cell): -134.39
Formation energy without anion corrections (eV per atom): 0.2435



(3)
BaSi2Pb at its PBEsol-relaxed geometry. Source: the Alexandria database, functional meta-GGA SCAN.

Geometry as CIF:
```
data_BaSi2Pb
_chemical_formula_sum 'Ba1 Si2 Pb1'
_cell_length_a 3.648
_cell_length_b 3.648
_cell_length_c 7.458
_cell_angle_alpha 90.00
_cell_angle_beta 90.00
_cell_angle_gamma 90.00
_symmetry_space_group_name_H-M 'P 1'
_symmetry_Int_Tables_number 1
loop_
_symmetry_equiv_pos_as_xyz
'x,y,z'
loop_
_atom_site_label
_atom_site_fract_x
_atom_site_fract_y
_atom_site_fract_z
Ba1 0.000 0.000 0.000
Si1 0.000 0.000 0.585
Si2 0.500 0.500 0.707
Pb1 0.500 0.500 0.348
```

Output
Total energy (eV per cell): -134.92
Formation energy without anion corrections (eV per atom): 0.1099



(4)
BaSi2Pb at its PBEsol-relaxed geometry. Source: the Alexandria database, functional meta-GGA SCAN.

Geometry as CIF:
```
data_BaSi2Pb
_chemical_formula_sum 'Ba1 Si2 Pb1'
_cell_length_a 5.809
_cell_length_b 5.809
_cell_length_c 5.809
_cell_angle_alpha 133.39
_cell_angle_beta 133.39
_cell_angle_gamma 68.04
_symmetry_space_group_name_H-M 'P 1'
_symmetry_Int_Tables_number 1
loop_
_symmetry_equiv_pos_as_xyz
'x,y,z'
loop_
_atom_site_label
_atom_site_fract_x
_atom_site_fract_y
_atom_site_fract_z
Ba1 0.000 0.000 0.000
Si1 0.250 0.750 0.500
Si2 0.500 0.500 0.000
Pb1 0.750 0.250 0.500
```

Output
Total energy (eV per cell): -134.08
Formation energy without anion corrections (eV per atom): 0.3196